(1)
Here is an optimized crystal structure of Ac2DySn3Pd6 from the Alexandria database. Energies are from PBE-GGA.

The calculation puts the formation energy at -0.5657 eV/atom. As for the total magnetization: 0.0 μB/cell.

The structure belongs to space group P4/mmm (No. 123); the cell edges are 4.261, 4.261 and 17.402 Å and the angles 90.00°, 90.00° and 90.00°. The inequivalent atoms are Ac at (0.000, 0.000, 0.185), Dy at (0.000, 0.000, 0.500), Sn at (0.500, 0.500, 0.000), Sn at (0.500, 0.500, 0.300), Pd at (0.000, 0.500, 0.390) and Pd at (0.500, 0.500, 0.147).


(2)
Here is an optimized crystal structure of AcDyTlPd from the Alexandria database. Energies are from PBE-GGA.

The calculation puts the formation energy at -0.4427 eV/atom. As for the total magnetization: 0.0 μB/cell.

The structure belongs to space group F-43m (No. 216); the cell edges are 7.666, 7.666 and 7.666 Å and the angles 90.00°, 90.00° and 90.00°. The inequivalent atoms are Ac at (0.000, 0.000, 0.000), Dy at (0.000, 0.000, 0.500), Tl at (0.250, 0.250, 0.250) and Pd at (0.250, 0.250, 0.750).


(3)
Here is an optimized crystal structure of Ac2DyZnPd6 from the Alexandria database. Energies are from PBE-GGA.

The calculation puts the formation energy at -0.6059 eV/atom. As for the total magnetization: 0.0 μB/cell.

The structure belongs to space group C2/m (No. 12); the cell edges are 10.124, 5.844 and 9.056 Å and the angles 90.00°, 111.74° and 90.00°. The inequivalent atoms are Ac at (0.213, 0.000, 0.140), Dy at (0.000, 0.000, 0.500), Zn at (0.000, 0.500, 0.000), Pd at (0.008, 0.249, 0.771) and Pd at (0.243, 0.500, 0.229).


(4)
Here is an optimized crystal structure of AcDyZn2Pd2 from the Alexandria database. Energies are from PBE-GGA.

The calculation puts the formation energy at -0.6958 eV/atom. As for the total magnetization: 0.0 μB/cell.

The structure belongs to space group P-3m1 (No. 164); the cell edges are 4.5515, 4.5515 and 7.4266 Å and the angles 90.00°, 90.00° and 120.00°. The inequivalent atoms are Ac at (0.0000, 0.0000, 0.0000), Dy at (0.0000, 0.0000, 0.5000), Zn at (0.3333, 0.6667, 0.2924) and Pd at (0.3333, 0.6667, 0.7096).


(5)
Here is an optimized crystal structure of AcDyZn2Pd5 from the Alexandria database. Energies are from PBE-GGA.

The calculation puts the formation energy at -0.6323 eV/atom. As for the total magnetization: 0.0 μB/cell.

The structure belongs to space group P4/mmm (No. 123); the cell edges are 4.265, 4.265 and 9.496 Å and the angles 90.00°, 90.00° and 90.00°. The inequivalent atoms are Ac at (0.000, 0.000, 0.000), Dy at (0.000, 0.000, 0.500), Zn at (0.500, 0.500, 0.374), Pd at (0.000, 0.500, 0.235) and Pd at (0.500, 0.500, 0.000).


(6)
Here is an optimized crystal structure of AcDyZnPd from the Alexandria database. Energies are from PBE-GGA.

The calculation puts the formation energy at -0.4731 eV/atom. As for the total magnetization: 0.0 μB/cell.

The structure belongs to space group F-43m (No. 216); the cell edges are 7.421, 7.421 and 7.421 Å and the angles 90.00°, 90.00° and 90.00°. The inequivalent atoms are Ac at (0.000, 0.000, 0.000), Dy at (0.000, 0.000, 0.500), Zn at (0.250, 0.250, 0.750) and Pd at (0.250, 0.250, 0.250).


(7)
Here is an optimized crystal structure of Ac6Pm4Dy from the Alexandria database. Energies are from PBE-GGA.

The calculation puts the formation energy at 0.3142 eV/atom. As for the total magnetization: 0.0 μB/cell.

The structure belongs to space group I-42m (No. 121); the cell edges are 7.035, 7.035 and 18.702 Å and the angles 90.00°, 90.00° and 90.00°. The inequivalent atoms are Ac at (0.000, 0.500, 0.000), Ac at (0.183, 0.183, 0.353), Pm at (0.183, 0.183, 0.164) and Dy at (0.000, 0.000, 0.000).


(8)
Here is an optimized crystal structure of Ac4Pm2Dy3 from the Alexandria database. Energies are from PBE-GGA.

The calculation puts the formation energy at 0.0537 eV/atom. As for the total magnetization: 0.0 μB/cell.

The structure belongs to space group C2/m (No. 12); the cell edges are 11.715, 5.392 and 11.271 Å and the angles 90.00°, 106.93° and 90.00°. The inequivalent atoms are Ac at (0.006, 0.000, 0.334), Ac at (0.166, 0.500, 0.888), Pm at (0.172, 0.500, 0.228), Dy at (0.000, 0.000, 0.000) and Dy at (0.165, 0.500, 0.550).


(9)
Here is an optimized crystal structure of AcPmDy2 from the Alexandria database. Energies are from PBE-GGA.

As for the energy above the most stable polymorph in this dataset: 76 meV per atom. The calculation puts the formation energy at 0.1213 eV/atom. As for the total magnetization: 0.0 μB/cell.

The structure belongs to space group Fm-3m (No. 225); the cell edges are 8.286, 8.286 and 8.286 Å and the angles 90.00°, 90.00° and 90.00°. The inequivalent atoms are Ac at (0.000, 0.000, 0.000), Pm at (0.000, 0.000, 0.500) and Dy at (0.250, 0.250, 0.250).


(10)
Here is an optimized crystal structure of AcPmDy2 from the Alexandria database. Energies are from PBE-GGA.

As for the energy above the most stable polymorph in this dataset: 5 meV per atom. The calculation puts the formation energy at 0.0503 eV/atom. As for the total magnetization: 0.0 μB/cell.

The structure belongs to space group P4/mmm (No. 123); the cell edges are 3.728, 3.728 and 10.156 Å and the angles 90.00°, 90.00° and 90.00°. The inequivalent atoms are Ac at (0.000, 0.000, 0.000), Pm at (0.000, 0.000, 0.500) and Dy at (0.500, 0.500, 0.261).


(11)
Here is an optimized crystal structure of AcPm10Dy4 from the Alexandria database. Energies are from PBE-GGA.

The calculation puts the formation energy at 0.4846 eV/atom. As for the total magnetization: 0.0 μB/cell.

The structure belongs to space group I4/m (No. 87); the cell edges are 12.767, 12.767 and 6.898 Å and the angles 90.00°, 90.00° and 90.00°. The inequivalent atoms are Ac at (0.000, 0.000, 0.000), Pm at (0.000, 0.500, 0.250), Pm at (0.129, 0.709, 0.248) and Dy at (0.067, 0.179, 0.500).


(12)
Here is an optimized crystal structure of AcPm6Dy5 from the Alexandria database. Energies are from PBE-GGA.

The calculation puts the formation energy at 0.0293 eV/atom. As for the total magnetization: 0.0 μB/cell.

The structure belongs to space group C2/m (No. 12); the cell edges are 12.049, 10.915 and 6.284 Å and the angles 90.00°, 100.18° and 90.00°. The inequivalent atoms are Ac at (0.000, 0.000, 0.000), Pm at (0.247, 0.332, 0.751), Pm at (0.248, 0.500, 0.255), Dy at (0.000, 0.172, 0.500), Dy at (0.000, 0.337, 0.000) and Dy at (0.000, 0.500, 0.500).


(13)
Here is an optimized crystal structure of AcPm4Dy7 from the Alexandria database. Energies are from PBE-GGA.

As for the energy above the most stable polymorph in this dataset: 270 meV per atom. The calculation puts the formation energy at 0.2911 eV/atom. As for the total magnetization: 0.0 μB/cell.

The structure belongs to space group C2/m (No. 12); the cell edges are 12.337, 6.091 and 12.736 Å and the angles 90.00°, 118.85° and 90.00°. The inequivalent atoms are Ac at (0.000, 0.000, 0.000), Pm at (0.130, 0.500, 0.776), Pm at (0.248, 0.000, 0.679), Dy at (0.000, 0.500, 0.000), Dy at (0.056, 0.000, 0.337), Dy at (0.133, 0.500, 0.504) and Dy at (0.216, 0.000, 0.921).


(14)
Here is an optimized crystal structure of Ac2PmDy4 from the Alexandria database. Energies are from PBE-GGA.

The calculation puts the formation energy at 0.0921 eV/atom. As for the total magnetization: 0.0 μB/cell.

The structure belongs to space group Cmmm (No. 65); the cell edges are 3.654, 37.676 and 3.663 Å and the angles 90.00°, 90.00° and 90.00°. The inequivalent atoms are Ac at (0.000, 0.204, 0.000), Pm at (0.000, 0.500, 0.500), Dy at (0.000, 0.066, 0.000) and Dy at (0.000, 0.369, 0.500).


(15)
Here is an optimized crystal structure of AcPm3Dy from the Alexandria database. Energies are from PBE-GGA.

The calculation puts the formation energy at 0.1418 eV/atom. As for the total magnetization: 0.0 μB/cell.

The structure belongs to space group Cmcm (No. 63); the cell edges are 3.743, 15.937 and 12.342 Å and the angles 90.00°, 90.00° and 90.00°. The inequivalent atoms are Ac at (0.000, 0.132, 0.250), Pm at (0.000, 0.191, 0.595), Pm at (0.000, 0.439, 0.250) and Dy at (0.000, 0.500, 0.000).


(16)
Here is an optimized crystal structure of Ac4Pm4Dy from the Alexandria database. Energies are from PBE-GGA.

The calculation puts the formation energy at 0.0451 eV/atom. As for the total magnetization: 0.0 μB/cell.

The structure belongs to space group I4/mmm (No. 139); the cell edges are 11.384, 11.384 and 5.349 Å and the angles 90.00°, 90.00° and 90.00°. The inequivalent atoms are Ac at (0.166, 0.166, 0.000), Pm at (0.000, 0.338, 0.500) and Dy at (0.000, 0.000, 0.500).


(17)
Here is an optimized crystal structure of Ac3Pm2Dy6 from the Alexandria database. Energies are from PBE-GGA.

The calculation puts the formation energy at 0.2310 eV/atom. As for the total magnetization: 0.0 μB/cell.

The structure belongs to space group C2/m (No. 12); the cell edges are 6.391, 11.096 and 11.779 Å and the angles 90.00°, 100.59° and 90.00°. The inequivalent atoms are Ac at (0.000, 0.000, 0.000), Ac at (0.000, 0.335, 0.000), Pm at (0.000, 0.166, 0.500), Dy at (0.246, 0.334, 0.742) and Dy at (0.249, 0.000, 0.742).


(18)
Here is an optimized crystal structure of Ac3PmDy from the Alexandria database. Energies are from PBE-GGA.

The calculation puts the formation energy at 0.1885 eV/atom. As for the total magnetization: 0.0 μB/cell.

The structure belongs to space group C2/m (No. 12); the cell edges are 12.379, 7.504 and 9.351 Å and the angles 90.00°, 109.32° and 90.00°. The inequivalent atoms are Ac at (0.155, 0.250, 0.118), Ac at (0.249, 0.000, 0.499), Pm at (0.058, 0.000, 0.731) and Dy at (0.057, 0.500, 0.728).


(19)
Here is an optimized crystal structure of Ac2PmDy from the Alexandria database. Energies are from PBE-GGA.

As for the energy above the most stable polymorph in this dataset: 69 meV per atom. The calculation puts the formation energy at 0.1053 eV/atom. As for the total magnetization: 0.0 μB/cell.

The structure belongs to space group Fm-3m (No. 225); the cell edges are 8.522, 8.522 and 8.522 Å and the angles 90.00°, 90.00° and 90.00°. The inequivalent atoms are Ac at (0.250, 0.250, 0.250), Pm at (0.000, 0.000, 0.000) and Dy at (0.000, 0.000, 0.500).


(20)
Here is an optimized crystal structure of Ac3PmDy6 from the Alexandria database. Energies are from PBE-GGA.

The calculation puts the formation energy at 0.0541 eV/atom. As for the total magnetization: 0.0 μB/cell.

The structure belongs to space group P2_1/m (No. 11); the cell edges are 11.445, 5.287 and 11.703 Å and the angles 90.00°, 91.71° and 90.00°. The inequivalent atoms are Ac at (0.050, 0.250, 0.401), Ac at (0.151, 0.750, 0.200), Ac at (0.254, 0.250, 0.996), Pm at (0.450, 0.250, 0.602), Dy at (0.055, 0.750, 0.898), Dy at (0.160, 0.250, 0.699), Dy at (0.260, 0.750, 0.504), Dy at (0.354, 0.750, 0.797), Dy at (0.358, 0.250, 0.304) and Dy at (0.452, 0.750, 0.102).